1.
Density functional theory data (PBE) for a relaxed BeNb4P crystal.

The energy is -8.72 eV per atom. The formation enthalpy at 0 K is -0.48 eV per atom.

The structure belongs to space group P4/mcc (No. 124); the cell edges are 6.044, 6.044 and 5.083 Å and the angles 90.00°, 90.00° and 90.00°. The inequivalent atoms are Be at (0.000, 0.000, 0.250), Nb at (0.159, 0.330, 0.000) and P at (0.500, 0.500, 0.250).

2.
Density functional theory data (PBE) for a relaxed TaReBr4 crystal.

The energy is -3.20 eV per atom. The uncorrected formation energy is 1.962 eV per atom.

The structure belongs to space group F-43m (No. 216); the cell edges are 8.402, 8.402 and 8.402 Å and the angles 90.00°, 90.00° and 90.00°. The inequivalent atoms are Ta at (0.000, 0.000, 0.000), Re at (0.250, 0.250, 0.250) and Br at (0.125, 0.125, 0.625).

3.
Density functional theory data (PBE) for a relaxed Tb2Ta2Ge2C crystal.

The energy is -7.97 eV per atom. The formation enthalpy at 0 K is -0.63 eV per atom.

The structure belongs to space group I4/mmm (No. 139); the cell edges are 4.253, 4.253 and 15.182 Å and the angles 90.00°, 90.00° and 90.00°. The inequivalent atoms are Tb at (0.000, 0.000, 0.167), Ta at (0.000, 0.500, 0.000), Ge at (0.000, 0.000, 0.372) and C at (0.000, 0.000, 0.000).

4.
Density functional theory data (PBE) for a relaxed ScZnCo2Se crystal.

The energy is -3.89 eV per atom. The uncorrected formation energy is 1.167 eV per atom.

The structure belongs to space group P4/mmm (No. 123); the cell edges are 4.485, 4.485 and 5.050 Å and the angles 90.00°, 90.00° and 90.00°. The inequivalent atoms are Sc at (0.000, 0.000, 0.000), Zn at (0.000, 0.000, 0.500), Co at (0.000, 0.500, 0.000) and Se at (0.500, 0.500, 0.500).

5.
Density functional theory data (PBE) for a relaxed Nd3ThSe4 crystal.

The energy is -6.21 eV per atom. The uncorrected formation energy is -1.757 eV per atom.

The structure belongs to space group Cmmm (No. 65); the cell edges are 8.470, 11.951 and 4.207 Å and the angles 90.00°, 90.00° and 90.00°. The inequivalent atoms are Nd at (0.000, 0.000, 0.000), Nd at (0.250, 0.250, 0.500), Th at (0.000, 0.500, 0.000), Se at (0.000, 0.251, 0.000) and Se at (0.250, 0.000, 0.500).

6.
Density functional theory data (PBE) for a relaxed TiIr2Ru2 crystal.

The energy is -8.89 eV per atom. The formation enthalpy at 0 K is -0.06 eV per atom.

The structure belongs to space group P4/mbm (No. 127); the cell edges are 7.453, 7.453 and 2.769 Å and the angles 90.00°, 90.00° and 90.00°. The inequivalent atoms are Ti at (0.000, 0.000, 0.000), Ir at (0.124, 0.376, 0.000) and Ru at (0.174, 0.674, 0.500).

7.
Density functional theory data (PBE) for a relaxed SrGeRuO6 crystal.

The energy is -6.64 eV per atom. The uncorrected formation energy is -1.604 eV per atom.

The structure belongs to space group P-31c (No. 163); the cell edges are 5.1437, 5.1437 and 10.8475 Å and the angles 90.00°, 90.00° and 120.00°. The inequivalent atoms are Sr at (0.0000, 0.0000, 0.0000), Ge at (0.3333, 0.6667, 0.2500), Ru at (0.3333, 0.6667, 0.7500) and O at (0.0031, 0.3850, 0.1505).

8.
Density functional theory data (PBE) for a relaxed Ho3Tl2Ga crystal.

The energy is -3.99 eV per atom. The formation enthalpy at 0 K is -0.41 eV per atom.

The structure belongs to space group P4/mmm (No. 123); the cell edges are 3.634, 3.634 and 11.601 Å and the angles 90.00°, 90.00° and 90.00°. The inequivalent atoms are Ho at (0.000, 0.000, 0.000), Ho at (0.000, 0.000, 0.349), Tl at (0.500, 0.500, 0.173) and Ga at (0.500, 0.500, 0.500).

9.
Density functional theory data (PBE) for a relaxed InSnSbOs2 crystal.

The energy is -4.76 eV per atom. The uncorrected formation energy is 1.903 eV per atom.

The structure belongs to space group P4/mmm (No. 123); the cell edges are 4.952, 4.952 and 5.270 Å and the angles 90.00°, 90.00° and 90.00°. The inequivalent atoms are In at (0.000, 0.000, 0.000), Sn at (0.000, 0.000, 0.500), Sb at (0.500, 0.500, 0.000) and Os at (0.000, 0.500, 0.500).

10.
Density functional theory data (PBE) for a relaxed CaNd2SiN4 crystal.

The energy is -7.37 eV per atom. The uncorrected formation energy is -1.089 eV per atom.

The structure belongs to space group Cmcm (No. 63); the cell edges are 3.431, 12.225 and 12.056 Å and the angles 90.00°, 90.00° and 90.00°. The inequivalent atoms are Ca at (0.000, 0.112, 0.250), Nd at (0.000, 0.369, 0.040), Si at (0.000, 0.185, 0.750), N at (0.000, 0.000, 0.000), N at (0.000, 0.266, 0.633) and N at (0.000, 0.393, 0.250).

11.
Density functional theory data (PBE) for a relaxed KTa2Si crystal.

The energy is -6.51 eV per atom. The uncorrected formation energy is 1.043 eV per atom.

The structure belongs to space group Imm2 (No. 44); the cell edges are 2.876, 5.636 and 10.880 Å and the angles 90.00°, 90.00° and 90.00°. The inequivalent atoms are K at (0.000, 0.000, 0.000), Ta at (0.000, 0.000, 0.484), Ta at (0.000, 0.500, 0.197) and Si at (0.000, 0.500, 0.773).

energy of number 6 (TiIr2Ru2)?
-8.89 eV per atom